No. 1
A geometry-optimized HgSbSe2 structure. Source: Alexandria, functional PBE.

Computed properties:
size of the total moment = 0.0000 μB per atom
E_form (uncorrected) = -0.1106 eV/atom
symmetry = No. 2

Structure (POSCAR):
```
HgSbSe2
1.0
-0.510 0.666 3.799
-2.092 -6.322 0.825
7.491 -5.650 3.993
Se Hg Sb
4 2 2
Direct
0.131 0.931 0.122
0.944 0.410 0.482
0.625 0.431 0.122
0.450 0.910 0.482
0.997 0.921 0.802
0.079 0.421 0.802
0.037 0.171 0.302
0.537 0.671 0.302
```

---

No. 2
A geometry-optimized K2Hf2Zn structure. Source: Alexandria, functional PBE.

Computed properties:
size of the total moment = 0.1974 μB per atom
formation enthalpy at 0 K = 1.21 eV per atom
symmetry = No. 127

Structure (POSCAR):
```
K2Hf2Zn
1.0
-1.482 8.122 7.676
-9.066 -5.401 3.964
1.784 -1.544 1.978
K Zn Hf
4 2 4
Direct
0.294 0.794 0.000
0.794 0.706 0.000
0.706 0.206 0.000
0.206 0.294 0.000
0.000 0.000 0.000
0.500 0.500 0.000
0.581 0.919 0.500
0.919 0.419 0.500
0.081 0.581 0.500
0.419 0.081 0.500
```

---

No. 3
A geometry-optimized Cu7Ag2Au2 structure. Source: Alexandria, functional PBE.

Computed properties:
size of the total moment = 0.0000 μB per atom
formation enthalpy at 0 K = 0.07 eV per atom
symmetry = No. 2

Structure (POSCAR):
```
Cu7Ag2Au2
1.0
4.603 0.507 0.073
0.519 4.502 -0.327
0.068 -0.035 7.879
Cu Au Ag
7 2 2
Direct
0.254 0.480 0.058
0.776 0.886 0.477
0.746 0.520 0.942
0.224 0.114 0.523
0.000 0.000 0.000
0.307 0.578 0.388
0.693 0.422 0.612
0.142 0.641 0.724
0.858 0.359 0.276
0.480 0.959 0.187
0.520 0.041 0.813
```

---

Calculated E, -2.959; -3.464; -3.648 eV/atom (same order as the records).